# 1
A relaxed structure of RbTaFe2Si, computed with PBE.

Properties
N(E_F)   8.9 states/eV per cell
Energy relative to the elements, uncorrected   2079 meV per atom
Volume   119.90 Å³ per cell

a = 4.5447 Å, b = 5.8050 Å, c = 4.5447 Å
α = 90.00°, β = 90.00°, γ = 90.00°
Closest atoms and distances in Å follow each position.
Fractional positions:
Si: 0.5000 0.5000 0.5000  4 Rb 3.21
Ta: 0.0000 0.0000 0.0000  4 Fe 2.27
Fe: 0.0000 0.0000 0.5000  2 Ta 2.27
Fe: 0.5000 0.0000 0.0000  2 Ta 2.27
Rb: 0.0000 0.5000 0.0000  2 Ta 2.90, 4 Si 3.21

# 2
A relaxed structure of FeSn2Pb2, computed with PBE.

Properties
Final energy   -4.49 eV/atom
N(E_F)   9.3 states/eV per cell
Volume   265.38 Å³ per cell

a = 7.0190 Å, b = 7.0190 Å, c = 5.3867 Å
α = 90.00°, β = 90.00°, γ = 90.00°
Closest atoms and distances in Å follow each position.
Fractional positions:
Sn: 0.8471 0.6529 0.0000  2 Fe 2.66
Sn: 0.6529 0.1529 0.0000  2 Fe 2.66
Sn: 0.1529 0.3471 0.0000  2 Fe 2.66
Sn: 0.3471 0.8471 0.0000  2 Fe 2.66
Fe: 0.5000 0.5000 0.0000  4 Sn 2.66
Fe: 0.0000 0.0000 0.0000  4 Sn 2.66
Pb: 0.1728 0.6728 0.5000  6 Sn 3.20-3.54, 1 Pb 3.43
Pb: 0.8272 0.3272 0.5000  6 Sn 3.20-3.54, 1 Pb 3.43
Pb: 0.6728 0.8272 0.5000  6 Sn 3.20-3.54, 1 Pb 3.43
Pb: 0.3272 0.1728 0.5000  6 Sn 3.20-3.54, 1 Pb 3.43

# 3
A relaxed structure of Th2Cd16Ag, computed with PBE.

Properties
Final energy   -1.77 eV/atom
N(E_F)   7.0 states/eV per cell
Volume   434.62 Å³ per cell

a = 7.6415 Å, b = 7.6415 Å, c = 7.6415 Å
α = 82.12°, β = 82.12°, γ = 82.12°
Closest atoms and distances in Å follow each position.
Fractional positions:
Cd: 0.7011 0.0006 0.2953  8 Cd 2.91-3.21
Cd: 0.9741 0.5312 0.9741  1 Ag 2.85, 8 Cd 2.91-3.05
Cd: 0.3480 0.8713 0.3480  9 Cd 2.87-3.21
Cd: 0.7011 0.2953 0.0006  8 Cd 2.91-3.21
Cd: 0.5312 0.9741 0.9741  1 Ag 2.85, 8 Cd 2.91-3.05
Cd: 0.9741 0.9741 0.5312  1 Ag 2.85, 8 Cd 2.91-3.05
Cd: 0.8713 0.3480 0.3480  9 Cd 2.87-3.21
Cd: 0.0006 0.7011 0.2953  8 Cd 2.91-3.21
Cd: 0.2953 0.7011 0.0006  8 Cd 2.91-3.21
Cd: 0.6286 0.6286 0.1942  8 Cd 2.87-3.18
Cd: 0.2953 0.0006 0.7011  8 Cd 2.91-3.21
Cd: 0.6286 0.1942 0.6286  8 Cd 2.87-3.18
Cd: 0.3480 0.3480 0.8713  9 Cd 2.87-3.21
Cd: 0.1044 0.1044 0.1044  1 Ag 2.91, 3 Cd 3.04
Cd: 0.1942 0.6286 0.6286  8 Cd 2.87-3.18
Cd: 0.0006 0.2953 0.7011  8 Cd 2.91-3.21
Th: 0.3317 0.3317 0.3317  13 Cd 3.39-3.53
Th: 0.6618 0.6618 0.6618  15 Cd 3.55-3.68, 1 Ag 3.71
Ag: 0.9099 0.9099 0.9099  4 Cd 2.85-2.91